[1]
# Pr5Ho12Tl2 (PBE, optimized geometry)
# Space-group type: C2/m
# M_tot in μB/cell: 0.00
# DOS(E_F) in states/eV/f.u.: 26.24
# ΔE_f in eV/atom: 0.014
data_Pr5Ho12Tl2
_cell_length_a 9.3783
_cell_length_b 12.1276
_cell_length_c 8.4001
_cell_angle_alpha 131.77
_cell_angle_beta 90.00
_cell_angle_gamma 112.75
_symmetry_space_group_name_H-M 'P 1'
_symmetry_Int_Tables_number 1
loop_
_symmetry_equiv_pos_as_xyz
'x,y,z'
loop_
_atom_site_label
_atom_site_type_symbol
_atom_site_fract_x
_atom_site_fract_y
_atom_site_fract_z
Pr1 Pr 0.3058 0.6116 0.6204
Ho1 Ho 0.3276 0.2892 0.0527
Ho2 Ho 0.9214 0.8428 0.7234
Ho3 Ho 0.6724 0.7108 0.9473
Ho4 Ho 0.1810 0.7472 0.4129
Tl1 Tl 0.6844 0.0000 0.0000
Ho5 Ho 0.4338 0.2528 0.5871
Pr2 Pr 0.6942 0.3884 0.3796
Pr3 Pr 0.7656 0.5312 0.1099
Pr4 Pr 0.0000 0.0000 0.5000
Ho6 Ho 0.5526 0.1052 0.7817
Ho7 Ho 0.8190 0.2528 0.5871
Pr5 Pr 0.2344 0.4688 0.8901
Ho8 Ho 0.4474 0.8948 0.2183
Ho9 Ho 0.5662 0.7472 0.4129
Ho10 Ho 0.0384 0.7108 0.9473
Ho11 Ho 0.0786 0.1572 0.2766
Tl2 Tl 0.3156 0.0000 0.0000
Ho12 Ho 0.9616 0.2892 0.0527

[2]
# PrHo5Tl (PBE, optimized geometry)
# Space-group type: Imm2
# M_tot in μB/cell: 0.00
# DOS(E_F) in states/eV/f.u.: 7.83
# ΔE_f in eV/atom: 0.699
data_PrHo5Tl
_cell_length_a 6.2683
_cell_length_b 7.9401
_cell_length_c 7.6446
_cell_angle_alpha 121.29
_cell_angle_beta 114.20
_cell_angle_gamma 90.00
_symmetry_space_group_name_H-M 'P 1'
_symmetry_Int_Tables_number 1
loop_
_symmetry_equiv_pos_as_xyz
'x,y,z'
loop_
_atom_site_label
_atom_site_type_symbol
_atom_site_fract_x
_atom_site_fract_y
_atom_site_fract_z
Ho1 Ho 0.3233 0.1871 0.0000
Pr1 Pr 0.8222 0.0000 0.0000
Tl1 Tl 0.5627 0.5000 0.0000
Ho2 Ho 0.0339 0.5000 0.0000
Ho3 Ho 0.9787 0.7460 0.4921
Ho4 Ho 0.3233 0.8129 0.0000
Ho5 Ho 0.4866 0.2540 0.5079

[3]
# Pr6Ho2Tl (PBE, optimized geometry)
# Space-group type: P2_1/c
# M_tot in μB/cell: 0.00
# DOS(E_F) in states/eV/f.u.: 13.14
# ΔE_f in eV/atom: 0.069
data_Pr6Ho2Tl
_cell_length_a 6.6829
_cell_length_b 8.4524
_cell_length_c 11.2427
_cell_angle_alpha 90.00
_cell_angle_beta 80.91
_cell_angle_gamma 90.00
_symmetry_space_group_name_H-M 'P 1'
_symmetry_Int_Tables_number 1
loop_
_symmetry_equiv_pos_as_xyz
'x,y,z'
loop_
_atom_site_label
_atom_site_type_symbol
_atom_site_fract_x
_atom_site_fract_y
_atom_site_fract_z
Ho1 Ho 0.8359 0.3882 0.7633
Ho2 Ho 0.3359 0.1118 0.2633
Pr1 Pr 0.9114 0.7042 0.9606
Pr2 Pr 0.0886 0.2958 0.0394
Ho3 Ho 0.6641 0.8882 0.7367
Pr3 Pr 0.8300 0.9455 0.2353
Tl1 Tl 0.5000 0.5000 0.0000
Pr4 Pr 0.1577 0.3636 0.4720
Pr5 Pr 0.8423 0.6364 0.5280
Pr6 Pr 0.5886 0.2042 0.5394
Pr7 Pr 0.6577 0.1364 0.9720
Pr8 Pr 0.3300 0.5545 0.7353
Pr9 Pr 0.6700 0.4455 0.2647
Pr10 Pr 0.3423 0.8636 0.0280
Ho4 Ho 0.1641 0.6118 0.2367
Pr11 Pr 0.1700 0.0545 0.7647
Tl2 Tl 0.0000 0.0000 0.5000
Pr12 Pr 0.4114 0.7958 0.4606

[4]
# Pr4HoTl4 (PBE, optimized geometry)
# Space-group type: P4_2/n
# M_tot in μB/cell: 0.00
# DOS(E_F) in states/eV/f.u.: 7.36
# ΔE_f in eV/atom: -0.203
data_Pr4HoTl4
_cell_length_a 6.3305
_cell_length_b 9.3928
_cell_length_c 9.3928
_cell_angle_alpha 90.00
_cell_angle_beta 90.00
_cell_angle_gamma 90.00
_symmetry_space_group_name_H-M 'P 1'
_symmetry_Int_Tables_number 1
loop_
_symmetry_equiv_pos_as_xyz
'x,y,z'
loop_
_atom_site_label
_atom_site_type_symbol
_atom_site_fract_x
_atom_site_fract_y
_atom_site_fract_z
Tl1 Tl 0.6240 0.0992 0.7981
Tl2 Tl 0.3760 0.2019 0.0992
Tl3 Tl 0.8760 0.5992 0.2981
Pr1 Pr 0.8669 0.3294 0.0746
Pr2 Pr 0.3669 0.4254 0.8294
Tl4 Tl 0.3760 0.7981 0.9008
Tl5 Tl 0.6240 0.9008 0.2019
Tl6 Tl 0.8760 0.4008 0.7019
Pr3 Pr 0.1331 0.0746 0.6706
Pr4 Pr 0.1331 0.9254 0.3294
Pr5 Pr 0.6331 0.1706 0.4254
Ho1 Ho 0.5000 0.5000 0.5000
Tl7 Tl 0.1240 0.2981 0.4008
Pr6 Pr 0.8669 0.6706 0.9254
Tl8 Tl 0.1240 0.7019 0.5992
Ho2 Ho 0.0000 0.0000 0.0000
Pr7 Pr 0.3669 0.5746 0.1706
Pr8 Pr 0.6331 0.8294 0.5746

[5]
# Pr5HoTl8 (PBE, optimized geometry)
# Space-group type: I-4
# M_tot in μB/cell: 0.00
# DOS(E_F) in states/eV/f.u.: 12.35
# ΔE_f in eV/atom: -0.298
data_Pr5HoTl8
_cell_length_a 8.2510
_cell_length_b 8.2510
_cell_length_c 8.2510
_cell_angle_alpha 108.99
_cell_angle_beta 110.44
_cell_angle_gamma 108.99
_symmetry_space_group_name_H-M 'P 1'
_symmetry_Int_Tables_number 1
loop_
_symmetry_equiv_pos_as_xyz
'x,y,z'
loop_
_atom_site_label
_atom_site_type_symbol
_atom_site_fract_x
_atom_site_fract_y
_atom_site_fract_z
Tl1 Tl 0.9685 0.0934 0.7006
Pr1 Pr 0.3694 0.1237 0.0087
Pr2 Pr 0.7543 0.6393 0.6306
Pr3 Pr 0.8851 0.8763 0.2457
Ho1 Ho 0.2500 0.5000 0.7500
Pr4 Pr 0.5000 0.0000 0.5000
Tl2 Tl 0.1249 0.7321 0.0315
Tl3 Tl 0.1296 0.7406 0.5399
Tl4 Tl 0.6110 0.4103 0.8704
Tl5 Tl 0.4601 0.5897 0.2007
Pr5 Pr 0.9913 0.3607 0.1149
Tl6 Tl 0.6072 0.9066 0.8751
Tl7 Tl 0.2994 0.2679 0.3928
Tl8 Tl 0.7993 0.2594 0.3890

[6]
# PrHoTl (PBE, optimized geometry)
# Space-group type: P6_3/mmc
# Polymorph energy (0 for the lowest one) in meV/atom: 0
# M_tot in μB/cell: 0.00
# DOS(E_F) in states/eV/f.u.: 3.45
# ΔE_f in eV/atom: -0.256
data_PrHoTl
_cell_length_a 5.5042
_cell_length_b 5.5042
_cell_length_c 6.8201
_cell_angle_alpha 90.00
_cell_angle_beta 90.00
_cell_angle_gamma 119.98
_symmetry_space_group_name_H-M 'P 1'
_symmetry_Int_Tables_number 1
loop_
_symmetry_equiv_pos_as_xyz
'x,y,z'
loop_
_atom_site_label
_atom_site_type_symbol
_atom_site_fract_x
_atom_site_fract_y
_atom_site_fract_z
Tl1 Tl 0.6668 0.8332 0.2500
Pr1 Pr 0.0000 0.5000 0.0000
Tl2 Tl 0.3332 0.1668 0.7500
Pr2 Pr 0.0000 0.5000 0.5000
Ho1 Ho 0.3334 0.1666 0.2500
Ho2 Ho 0.6666 0.8334 0.7500

[7]
# Pr14HoTl (PBE, optimized geometry)
# Space-group type: Amm2
# M_tot in μB/cell: 0.00
# DOS(E_F) in states/eV/f.u.: 20.17
# ΔE_f in eV/atom: -0.029
data_Pr14HoTl
_cell_length_a 7.3091
_cell_length_b 7.3091
_cell_length_c 10.4181
_cell_angle_alpha 90.00
_cell_angle_beta 90.00
_cell_angle_gamma 89.98
_symmetry_space_group_name_H-M 'P 1'
_symmetry_Int_Tables_number 1
loop_
_symmetry_equiv_pos_as_xyz
'x,y,z'
loop_
_atom_site_label
_atom_site_type_symbol
_atom_site_fract_x
_atom_site_fract_y
_atom_site_fract_z
Pr1 Pr 0.3755 0.6245 0.5000
Pr2 Pr 0.1238 0.3738 0.7554
Tl1 Tl 0.8750 0.1250 0.0000
Pr3 Pr 0.1237 0.8763 0.2456
Pr4 Pr 0.1238 0.3738 0.2446
Pr5 Pr 0.3754 0.1256 0.5000
Pr6 Pr 0.3738 0.1242 0.0000
Pr7 Pr 0.6262 0.8762 0.2446
Ho1 Ho 0.3749 0.6251 0.0000
Pr8 Pr 0.1237 0.8763 0.7544
Pr9 Pr 0.6262 0.8762 0.7554
Pr10 Pr 0.8747 0.1253 0.5000
Pr11 Pr 0.8758 0.6262 0.0000
Pr12 Pr 0.6265 0.3735 0.7562
Pr13 Pr 0.6265 0.3735 0.2438
Pr14 Pr 0.8744 0.6246 0.5000

[8]
# Pr6Ho5Tl (PBE, optimized geometry)
# Space-group type: Immm
# M_tot in μB/cell: 0.00
# DOS(E_F) in states/eV/f.u.: 16.18
# ΔE_f in eV/atom: -0.032
data_Pr6Ho5Tl
_cell_length_a 5.0988
_cell_length_b 9.5384
_cell_length_c 9.5384
_cell_angle_alpha 107.87
_cell_angle_beta 105.49
_cell_angle_gamma 105.49
_symmetry_space_group_name_H-M 'P 1'
_symmetry_Int_Tables_number 1
loop_
_symmetry_equiv_pos_as_xyz
'x,y,z'
loop_
_atom_site_label
_atom_site_type_symbol
_atom_site_fract_x
_atom_site_fract_y
_atom_site_fract_z
Ho1 Ho 0.5000 0.1690 0.8310
Pr1 Pr 0.2458 0.4120 0.0795
Pr2 Pr 0.2458 0.0795 0.4120
Ho2 Ho 0.5000 0.8310 0.1690
Tl1 Tl 0.0000 0.0000 0.0000
Pr3 Pr 0.7542 0.9205 0.5880
Pr4 Pr 0.7455 0.2456 0.2456
Ho3 Ho 0.0000 0.6641 0.3359
Pr5 Pr 0.2545 0.7544 0.7544
Pr6 Pr 0.7542 0.5880 0.9205
Ho4 Ho 0.0000 0.3359 0.6641
Ho5 Ho 0.5000 0.5000 0.5000